[1]
Compound: LiBiS2
Source: Alexandria
Functional: PBEsol
Structure: relaxed

Lattice parameters (Å, degrees): 3.9251 3.9251 18.6864 90.00 90.00 120.00
Space group R-3m (No. 166, hexagonal axes)
Inequivalent atoms, fractional coordinates:
1 Li 0.0000 0.0000 0.0000 [3 per cell]
2 Bi 0.0000 0.0000 0.5000 [3 per cell]
3 S 0.0000 0.0000 0.2555 [6 per cell]

## Properties
Spin magnetization in μB per formula unit: 0.0
DOS(E_F) in states/eV/f.u.: 0.00
Formation energy from raw total energies in eV per atom: -0.780
E_tot in eV per atom: -4.535

***

[2]
Compound: Li2NbBr
Source: Alexandria
Functional: PBEsol
Structure: relaxed

Lattice parameters (Å, degrees): 7.340 7.340 5.098 90.00 90.00 90.00
Space group I-42d (No. 122)
Inequivalent atoms, fractional coordinates:
1 Li 0.201 0.250 0.125 [8 per cell]
2 Nb 0.000 0.000 0.500 [4 per cell]
3 Br 0.000 0.000 0.000 [4 per cell]

## Properties
Spin magnetization in μB per formula unit: 0.0
DOS(E_F) in states/eV/f.u.: 2.66
Formation energy from raw total energies in eV per atom: 0.303
E_tot in eV per atom: -3.853

***

[3]
Compound: MgMoPb2
Source: Alexandria
Functional: PBEsol
Structure: relaxed

Lattice parameters (Å, degrees): 3.646 3.646 6.421 90.00 90.00 90.00
Space group P4/mmm (No. 123)
Inequivalent atoms, fractional coordinates:
1 Mg 0.000 0.000 0.000 [1 per cell]
2 Mo 0.000 0.000 0.500 [1 per cell]
3 Pb 0.500 0.500 0.265 [2 per cell]

## Properties
Spin magnetization in μB per formula unit: 0.0
Formation energy in eV/atom: 0.42
DOS(E_F) in states/eV/f.u.: 2.80
E_tot in eV per atom: -4.951

***

[4]
Compound: TcAg2Sb
Source: Alexandria
Functional: PBEsol
Structure: relaxed

Lattice parameters (Å, degrees): 4.471 3.101 5.096 90.00 104.06 90.00
Space group P2/m (No. 10)
Inequivalent atoms, fractional coordinates:
1 Tc 0.000 0.000 0.000 [1 per cell]
2 Ag 0.000 0.500 0.500 [1 per cell]
3 Ag 0.500 0.000 0.500 [1 per cell]
4 Sb 0.500 0.500 0.000 [1 per cell]

## Properties
Spin magnetization in μB per formula unit: 0.4
DOS(E_F) in states/eV/f.u.: 2.39
Formation energy from raw total energies in eV per atom: 0.310
E_tot in eV per atom: -5.302

***

[5]
Compound: Cr2ReW
Source: Alexandria
Functional: PBEsol
Structure: relaxed

Lattice parameters (Å, degrees): 2.972 2.972 6.003 90.00 90.00 90.00
Space group P4mm (No. 99)
Inequivalent atoms, fractional coordinates:
1 Cr 0.000 0.000 0.000 [1 per cell]
2 Cr 0.500 0.500 0.225 [1 per cell]
3 Re 0.000 0.000 0.475 [1 per cell]
4 W 0.500 0.500 0.754 [1 per cell]

## Properties
Spin magnetization in μB per formula unit: 0.0
Formation energy in eV/atom: 0.07
DOS(E_F) in states/eV/f.u.: 3.41
E_tot in eV per atom: -11.836

***

[6]
Compound: CaPdIN2
Source: Alexandria
Functional: PBEsol
Structure: relaxed

Lattice parameters (Å, degrees): 4.373 4.373 6.172 90.00 90.00 90.00
Space group P4/mmm (No. 123)
Inequivalent atoms, fractional coordinates:
1 Ca 0.000 0.000 0.000 [1 per cell]
2 Pd 0.500 0.500 0.500 [1 per cell]
3 I 0.000 0.000 0.500 [1 per cell]
4 N 0.000 0.500 0.000 [2 per cell]

## Properties
Spin magnetization in μB per formula unit: 4.5
DOS(E_F) in states/eV/f.u.: 2.30
Formation energy from raw total energies in eV per atom: 1.371
E_tot in eV per atom: -4.012

***

- The highest E_tot belongs to which entry?
  Li2NbBr